1.
YSc2Te: optimized geometry, PBE.

Geometry as POSCAR:
```
YSc2Te
1.0
8.597 0.000 0.000
0.000 8.597 0.000
4.299 4.299 3.071
Te Sc Y
2 4 2
Cartesian
0.000 0.000 0.000
8.597 4.299 1.536
6.874 2.149 0.768
1.723 6.448 0.768
10.747 11.173 2.303
6.448 6.022 2.303
4.299 4.299 0.000
4.299 8.597 1.536
```

Uncorrected formation energy   -0.258 eV/atom

2.
PmPrGdPu: optimized geometry, PBE.

Geometry as POSCAR:
```
PmPrGdPu
1.0
5.709 0.000 0.000
2.854 4.944 0.000
2.854 1.648 4.661
Gd Pm Pu Pr
1 1 1 1
Cartesian
8.563 4.944 3.496
5.709 3.296 2.331
0.000 0.000 0.000
2.854 1.648 1.165
```

Formation enthalpy at 0 K   0.87 eV/f.u.

3.
Mg3Sn: optimized geometry, PBE.

Geometry as POSCAR:
```
Mg3Sn
1.0
3.332 0.000 0.000
-1.666 2.885 0.000
0.000 0.000 9.996
Sn Mg
1 3
Cartesian
1.666 0.962 4.998
1.666 0.962 0.000
0.000 0.000 2.551
0.000 0.000 7.445
```

Formation enthalpy at 0 K   -0.08 eV/f.u.

4.
Rb2GaRu: optimized geometry, PBE.

Geometry as POSCAR:
```
Rb2GaRu
1.0
11.714 0.000 0.000
0.000 11.714 0.000
5.857 5.857 2.396
Rb Ga Ru
4 2 2
Cartesian
10.620 2.929 0.599
14.643 4.763 1.797
8.786 6.951 1.797
12.808 8.786 0.599
5.857 5.857 0.000
5.857 11.714 1.198
11.714 5.857 1.198
0.000 0.000 0.000
```

Formation enthalpy at 0 K   2.58 eV/f.u.

5.
LiSb2Se: optimized geometry, PBE.

Geometry as POSCAR:
```
LiSb2Se
1.0
-2.204 1.587 2.259
2.994 -1.661 4.090
2.732 4.207 -0.291
Li Sb Se
1 2 1
Cartesian
2.863 1.273 1.899
0.000 0.000 0.000
0.395 -0.037 3.174
0.264 2.897 0.984
```

Uncorrected formation energy   -0.117 eV/atom

6.
CaInIr3: optimized geometry, PBE.

Geometry as POSCAR:
```
CaInIr3
1.0
4.807 0.000 0.000
0.000 4.807 0.000
0.000 0.000 4.807
In Ir Ca
1 3 1
Cartesian
2.403 2.403 2.403
2.403 0.000 0.000
0.000 2.403 0.000
0.000 0.000 2.403
0.000 0.000 0.000
```

Formation enthalpy at 0 K   9.81 eV/f.u.

7.
TiCrTePS: optimized geometry, PBE.

Geometry as POSCAR:
```
TiCrTePS
1.0
-3.182 -1.497 0.480
2.594 -1.820 -1.598
8.480 -9.968 25.127
Ti Te P Cr S
3 3 3 3 3
Cartesian
4.426 -8.284 16.626
2.856 -3.357 8.463
0.698 -1.747 -0.818
2.961 -6.562 12.284
7.713 -9.992 19.967
1.391 -1.635 4.121
3.997 -5.624 8.956
-0.755 -2.194 1.273
6.155 -7.234 18.236
3.690 -4.337 10.933
5.260 -9.264 19.096
1.532 -2.727 1.652
1.217 -4.512 7.117
8.127 -9.553 24.081
5.969 -7.942 14.800
```

Uncorrected formation energy   -0.732 eV/atom

8.
Cs7Rb2Na3: optimized geometry, PBE.

Geometry as POSCAR:
```
Cs7Rb2Na3
1.0
5.165 0.000 0.000
0.000 8.012 -1.326
0.000 0.182 25.971
Na Cs Rb
3 7 2
Cartesian
2.582 4.006 -0.663
2.582 2.970 17.950
2.582 5.224 6.695
0.000 2.338 14.129
0.000 4.597 2.909
2.582 7.418 19.955
0.000 3.597 21.736
0.000 0.000 0.000
0.000 5.856 10.516
2.582 0.776 4.691
0.000 6.754 15.941
0.000 1.440 8.704
```

Formation enthalpy at 0 K   0.63 eV/f.u.

9.
Nd5Hg2Pb5: optimized geometry, PBE.

Geometry as POSCAR:
```
Nd5Hg2Pb5
1.0
-2.689 2.468 3.105
-7.758 1.253 -4.018
-5.529 -6.432 4.023
Pb Nd Hg
5 5 2
Cartesian
0.000 0.000 0.000
-10.582 0.947 1.176
-10.649 -3.963 1.323
-5.327 1.253 1.786
-5.394 -3.657 1.933
-3.076 -1.239 2.019
-8.394 -4.488 3.694
-7.582 1.778 -0.584
-12.900 -1.471 1.090
-7.988 -1.355 1.555
-10.568 -1.776 3.353
-5.408 -0.934 -0.244
```

Formation enthalpy at 0 K   -5.59 eV/f.u.

10.
PmSn2Pd5: optimized geometry, PBE.

Geometry as POSCAR:
```
PmSn2Pd5
1.0
-3.135 1.473 -1.869
-4.838 1.124 4.856
-0.793 6.503 2.310
Pd Pm Sn
5 1 2
Cartesian
-3.249 4.860 0.991
-3.880 6.415 3.275
-5.517 4.239 4.305
-2.816 3.813 3.583
-4.886 2.684 2.022
0.000 0.000 0.000
-6.552 6.768 3.890
-2.214 2.331 1.407
```

Formation enthalpy at 0 K   -4.68 eV/f.u.

11.
MnCo2B: optimized geometry, PBE.

Geometry as POSCAR:
```
MnCo2B
1.0
-2.699 0.788 -0.689
-0.821 -3.480 -0.769
-1.038 -0.521 3.468
B Co Mn
1 2 1
Cartesian
-1.349 0.394 -0.344
-0.410 -1.740 -0.384
-0.519 -0.261 1.734
-2.279 -1.607 1.005
```

Formation enthalpy at 0 K   0.44 eV/f.u.

12.
HoCo2B4: optimized geometry, PBE.

Geometry as POSCAR:
```
HoCo2B4
1.0
3.005 0.000 -0.685
-0.169 3.165 -0.739
0.053 0.003 7.165
B Co Ho
4 2 1
Cartesian
0.221 1.912 0.970
2.668 1.257 4.770
1.883 2.084 1.326
1.006 1.085 4.414
2.322 2.557 3.252
0.567 0.611 2.488
1.502 0.000 -0.343
```

Formation enthalpy at 0 K   -2.48 eV/f.u.

13.
ThCu3Cl9: optimized geometry, PBE.

Geometry as POSCAR:
```
ThCu3Cl9
1.0
7.918 0.000 3.332
3.509 9.186 2.735
-0.123 0.006 11.366
Cl Cu Th
18 6 2
Cartesian
3.239 1.921 5.391
1.384 0.642 8.466
5.592 0.032 11.450
5.556 4.622 6.355
3.492 6.517 11.836
5.508 8.651 4.962
8.712 3.949 13.743
9.652 8.539 9.059
8.394 2.589 5.879
3.982 2.900 12.595
7.457 7.185 11.823
2.713 5.232 3.946
4.809 1.924 8.697
5.862 7.490 8.307
6.981 0.689 3.195
8.071 6.514 4.990
2.446 5.285 7.625
6.621 4.061 10.510
3.406 4.140 5.982
10.870 8.737 15.461
5.534 2.184 10.946
8.285 4.977 11.672
5.956 6.774 6.044
7.923 0.381 5.181
1.863 4.554 12.821
7.182 9.144 9.980
```

Uncorrected formation energy   -1.091 eV/atom

14.
TbGa2CoNi: optimized geometry, PBE.

Geometry as POSCAR:
```
TbGa2CoNi
1.0
-0.712 2.823 2.747
0.561 -2.690 2.910
5.056 1.087 -2.723
Co Tb Ga Ni
1 1 2 1
Cartesian
2.135 1.988 1.426
0.000 0.000 0.000
1.181 0.357 2.855
3.725 0.862 0.079
2.771 -0.769 1.508
```

Formation enthalpy at 0 K   -2.42 eV/f.u.

15.
YZn2: optimized geometry, PBE.

Geometry as POSCAR:
```
YZn2
1.0
-2.553 2.553 4.939
2.553 -2.553 4.939
2.553 2.553 -4.939
Zn Y
4 2
Cartesian
0.885 1.667 4.939
0.885 3.438 0.000
1.667 -0.885 4.939
1.667 0.885 0.000
0.000 0.000 7.409
0.000 0.000 2.470
```

Formation enthalpy at 0 K   -0.36 eV/f.u.

16.
TcTe2Se: optimized geometry, PBE.

Geometry as POSCAR:
```
TcTe2Se
1.0
-1.323 2.577 -1.276
-2.467 -1.739 -0.953
-4.300 1.735 7.964
Te Se Tc
2 1 1
Cartesian
-4.029 1.625 7.462
-2.421 0.977 4.484
-2.970 0.853 0.876
-5.120 1.720 4.858
```

Uncorrected formation energy   0.170 eV/atom

17.
PdIBr2: optimized geometry, PBE.

Geometry as POSCAR:
```
PdIBr2
1.0
10.118 0.000 0.000
0.000 10.118 0.000
5.059 5.059 2.786
Pd Br I
2 4 2
Cartesian
5.059 10.118 1.393
5.059 5.059 0.000
5.019 2.530 0.697
5.099 7.589 0.697
12.648 10.078 2.090
7.589 10.158 2.090
0.000 0.000 0.000
10.118 5.059 1.393
```

Uncorrected formation energy   0.009 eV/atom

18.
Y2Zn6Ag3: optimized geometry, PBE.

Geometry as POSCAR:
```
Y2Zn6Ag3
1.0
3.880 0.000 0.000
0.000 7.532 -0.930
0.000 -0.098 7.589
Zn Y Ag
6 2 3
Cartesian
1.940 4.595 4.115
1.940 2.839 2.543
1.940 4.778 6.725
1.940 2.656 -0.067
1.940 7.209 4.011
1.940 0.225 2.647
0.000 2.165 5.062
0.000 5.269 1.597
0.000 1.532 1.372
0.000 5.902 5.286
1.940 0.000 0.000
```

Formation enthalpy at 0 K   -1.19 eV/f.u.

19.
SrLaY2Pt: optimized geometry, PBE.

Geometry as POSCAR:
```
SrLaY2Pt
1.0
-2.887 -1.180 4.754
3.209 -4.625 0.801
3.671 3.065 2.990
Pt Sr La Y
1 1 1 2
Cartesian
0.000 0.000 0.000
1.997 -1.370 4.273
1.836 1.533 1.495
1.604 -2.312 0.400
-1.443 -0.590 2.377
```

Formation enthalpy at 0 K   -2.02 eV/f.u.

20.
K2NaBr: optimized geometry, PBE.

Geometry as POSCAR:
```
K2NaBr
1.0
6.152 -0.768 0.970
3.204 4.242 3.334
2.116 -1.456 5.726
K Na Br
2 1 1
Cartesian
2.868 0.505 2.508
8.604 1.514 7.523
0.000 0.000 0.000
5.736 1.009 5.015
```

Uncorrected formation energy   -0.616 eV/atom

21.
Sn3SeO: optimized geometry, PBE.

Geometry as POSCAR:
```
Sn3SeO
1.0
-4.148 2.490 0.966
-1.459 -0.619 -4.672
-2.237 -4.214 1.257
Sn Se O
3 1 1
Cartesian
-1.118 -2.107 0.628
-2.074 1.245 0.483
-0.730 -0.309 -2.336
-3.922 -1.171 -1.225
0.000 0.000 0.000
```

Uncorrected formation energy   -0.206 eV/atom

22.
PmDyTm3: optimized geometry, PBE.

Geometry as POSCAR:
```
PmDyTm3
1.0
9.596 0.000 -1.086
0.000 6.029 0.000
-1.037 0.000 5.555
Pm Tm Dy
2 6 2
Cartesian
6.882 5.347 2.722
1.677 2.333 1.747
7.476 3.031 -0.044
-0.701 2.815 4.179
5.191 2.260 2.404
3.367 5.275 2.065
9.260 5.829 0.290
1.083 0.017 4.513
2.947 3.126 4.860
5.612 0.112 -0.391
```

Formation enthalpy at 0 K   0.40 eV/f.u.

23.
Ca2Zn3Pt: optimized geometry, PBE.

Geometry as POSCAR:
```
Ca2Zn3Pt
1.0
-2.750 3.151 7.844
-7.886 -2.673 3.346
1.993 -4.054 7.364
Ca Zn Pt
8 12 4
Cartesian
-4.169 -2.404 12.097
-2.771 -4.018 8.198
-0.245 -1.036 10.404
-1.910 1.747 8.702
-0.512 0.133 4.804
-5.849 0.404 10.380
-4.497 -1.133 6.434
1.153 -2.650 6.506
-3.248 -1.066 9.384
-1.460 -1.157 7.509
-1.163 -2.383 13.163
-5.808 -3.994 7.124
-7.087 0.321 7.460
-5.406 -2.496 9.202
-5.496 -5.230 12.746
-3.549 0.157 3.730
-8.866 0.396 9.346
-6.779 -0.917 13.082
-1.761 0.066 1.854
-1.852 -2.671 5.440
-7.201 -2.430 11.044
-5.694 -1.242 3.540
-2.816 0.430 11.432
-4.942 1.721 7.650
```

Formation enthalpy at 0 K   -2.96 eV/f.u.

24.
DyY2Sc2: optimized geometry, PBE.

Geometry as POSCAR:
```
DyY2Sc2
1.0
8.453 0.047 0.630
-1.710 8.278 0.630
-2.480 -3.062 3.965
Dy Sc Y
2 4 4
Cartesian
5.821 -1.624 3.605
-1.558 6.887 1.622
5.732 0.983 1.622
3.165 0.526 3.605
-1.469 4.280 3.605
1.097 4.736 1.622
2.837 1.860 0.521
1.425 3.402 4.705
4.272 3.632 2.723
-0.010 1.631 2.504
```

Formation enthalpy at 0 K   1.68 eV/f.u.

Number 1: M_tot 0.00 μB per formula unit. Number 2: M_tot 14.61 μB per formula unit. Number 3: M_tot 0.00 μB per formula unit. Number 4: M_tot 1.00 μB per formula unit. Number 5: M_tot 0.00 μB per formula unit. Number 6: M_tot 0.00 μB per formula unit. Number 7: M_tot 2.00 μB per formula unit. Number 8: M_tot 0.00 μB per formula unit. Number 9: M_tot 0.00 μB per formula unit. Number 10: M_tot 0.00 μB per formula unit. Number 11: M_tot 4.02 μB per formula unit. Number 12: M_tot 0.00 μB per formula unit. Number 13: M_tot 2.13 μB per formula unit. Number 14: M_tot 0.00 μB per formula unit. Number 15: M_tot 0.00 μB per formula unit. Number 16: M_tot 0.00 μB per formula unit. Number 17: M_tot 0.00 μB per formula unit. Number 18: M_tot 0.00 μB per formula unit. Number 19: M_tot 0.00 μB per formula unit. Number 20: M_tot 0.00 μB per formula unit. Number 21: M_tot 0.00 μB per formula unit. Number 22: M_tot 0.00 μB per formula unit. Number 23: M_tot 0.00 μB per formula unit. Number 24: M_tot 0.00 μB per formula unit.